(1)
Crystalline AcTbSc at its relaxed geometry. Source: OQMD, functional PBE.

Values from the calculation:
Volume, Å³ per atom: 38.48
Excess energy over the best structure of this formula in the dataset, eV per formula unit: 0.00
Symmetry: F-43m, No. 216
Magnetic moment, μB/atom: 0.003
Energy of formation, eV/atom: 0.65

abc: 5.465 5.465 5.465
angles: 60.00 60.00 60.00
Atoms (fractional coordinates):
Ac1 0.000 0.000 0.000
Tb1 0.500 0.500 0.500
Sc1 0.250 0.250 0.250

(2)
Crystalline ZnCu5B2 at its relaxed geometry. Source: OQMD, functional PBE.

Values from the calculation:
Volume, Å³ per atom: 10.72
Electronic total energy, eV for the cell shown: -29.6
Symmetry: P4/mmm, No. 123

abc: 3.930 3.930 5.550
angles: 90.00 90.00 90.00
Atoms (fractional coordinates):
Zn1 0.000 0.000 0.000
Cu1 0.000 0.500 0.254
Cu2 0.000 0.500 0.746
Cu3 0.500 0.000 0.254
Cu4 0.500 0.000 0.746
Cu5 0.500 0.500 0.500
B1 0.000 0.000 0.500
B2 0.500 0.500 0.000

(3)
Crystalline Pr3In2HgPt2Au at its relaxed geometry. Source: OQMD, functional PBE.

Values from the calculation:
Volume, Å³ per atom: 24.05
Electronic total energy, eV for the cell shown: -43.0
Symmetry: Amm2, No. 38
Magnetic moment, μB/atom: 0.001

abc: 4.068 7.813 7.813
angles: 119.38 90.00 90.00
Atoms (fractional coordinates):
Pr1 0.000 0.000 0.000
Pr2 0.000 0.174 0.578
Pr3 0.000 0.578 0.174
In1 0.500 0.586 0.844
In2 0.500 0.844 0.586
Hg1 0.500 0.318 0.318
Pt1 0.500 0.247 0.902
Pt2 0.500 0.902 0.247
Au1 0.000 0.593 0.593

(4)
Crystalline Sb2MoSe at its relaxed geometry. Source: OQMD, functional PBE.

Values from the calculation:
Volume, Å³ per atom: 25.25
Electronic total energy, eV for the cell shown: -189.3
Symmetry: P2_1/c, No. 14
Magnetic moment, μB/atom: 0.000

abc: 6.642 6.553 18.620
angles: 90.00 94.36 90.00
Atoms (fractional coordinates):
Sb1 0.075 0.125 0.074
Sb2 0.075 0.375 0.574
Sb3 0.075 0.625 0.075
Sb4 0.075 0.875 0.575
Sb5 0.202 0.101 0.227
Sb6 0.202 0.399 0.727
Sb7 0.202 0.649 0.227
Sb8 0.202 0.851 0.727
Sb9 0.798 0.149 0.273
Sb10 0.798 0.351 0.773
Sb11 0.798 0.601 0.273
Sb12 0.798 0.899 0.773
Sb13 0.925 0.125 0.425
Sb14 0.925 0.375 0.925
Sb15 0.925 0.625 0.426
Sb16 0.925 0.875 0.926
Mo1 0.326 0.124 0.494
Mo2 0.326 0.376 0.994
Mo3 0.326 0.625 0.494
Mo4 0.326 0.875 0.994
Mo5 0.674 0.125 0.006
Mo6 0.674 0.375 0.506
Mo7 0.674 0.624 0.006
Mo8 0.674 0.876 0.506
Se1 0.412 0.125 0.900
Se2 0.412 0.375 0.400
Se3 0.413 0.625 0.899
Se4 0.413 0.875 0.399
Se5 0.587 0.125 0.601
Se6 0.587 0.375 0.101
Se7 0.588 0.625 0.600
Se8 0.588 0.875 0.100

(5)
Crystalline PaCl at its relaxed geometry. Source: OQMD, functional PBE.

Values from the calculation:
Volume, Å³ per atom: 20.94
Electronic total energy, eV for the cell shown: -12.9
Symmetry: P-6m2, No. 187
Magnetic moment, μB/atom: 0.007

abc: 3.284 3.284 4.484
angles: 90.00 90.00 120.00
Atoms (fractional coordinates):
Pa1 0.000 0.000 0.000
Cl1 0.333 0.667 0.500

(6)
Crystalline Ta4PbO9 at its relaxed geometry. Source: OQMD, functional PBE.

Values from the calculation:
Volume, Å³ per atom: 14.40
Electronic total energy, eV for the cell shown: -128.0
Symmetry: C2, No. 5
Magnetic moment, μB/atom: 0.000

abc: 7.074 7.074 4.867
angles: 101.21 101.21 116.96
Atoms (fractional coordinates):
Ta1 0.000 0.000 0.000
Ta2 0.005 0.632 0.188
Ta3 0.368 0.995 0.812
Ta4 0.796 0.204 0.500
Pb1 0.491 0.509 0.500
O1 0.023 0.444 0.875
O2 0.041 0.215 0.353
O3 0.277 0.723 0.500
O4 0.298 0.219 0.998
O5 0.548 0.209 0.646
O6 0.556 0.977 0.125
O7 0.781 0.702 0.002
O8 0.785 0.959 0.647
O9 0.791 0.452 0.354

(7)
Crystalline Ni9Hg at its relaxed geometry. Source: OQMD, functional PBE.

Values from the calculation:
Volume, Å³ per atom: 15.11
Excess energy over the best structure of this formula in the dataset, eV per formula unit: 0.12
Symmetry: P4/nmm, No. 129
Magnetic moment, μB/atom: 0.530
Energy of formation, eV/atom: 0.13

abc: 2.554 2.554 46.325
angles: 90.00 90.00 90.00
Atoms (fractional coordinates):
Ni1 0.250 0.250 0.018
Ni2 0.250 0.250 0.091
Ni3 0.250 0.250 0.163
Ni4 0.250 0.250 0.234
Ni5 0.250 0.250 0.305
Ni6 0.250 0.250 0.731
Ni7 0.250 0.250 0.801
Ni8 0.250 0.250 0.873
Ni9 0.250 0.250 0.946
Ni10 0.750 0.750 0.054
Ni11 0.750 0.750 0.127
Ni12 0.750 0.750 0.199
Ni13 0.750 0.750 0.269
Ni14 0.750 0.750 0.695
Ni15 0.750 0.750 0.766
Ni16 0.750 0.750 0.837
Ni17 0.750 0.750 0.909
Ni18 0.750 0.750 0.982
Hg1 0.250 0.250 0.647
Hg2 0.750 0.750 0.353

(8)
Crystalline PmAgAsO at its relaxed geometry. Source: OQMD, functional PBE.

Values from the calculation:
Volume, Å³ per atom: 18.89
Excess energy over the best structure of this formula in the dataset, eV per formula unit: 1.08
Symmetry: Pmc2_1, No. 26
Magnetic moment, μB/atom: 0.000

abc: 5.488 4.950 5.563
angles: 90.00 90.00 90.00
Atoms (fractional coordinates):
Pm1 0.000 0.232 0.000
Pm2 0.000 0.768 0.500
Ag1 0.500 0.416 0.376
Ag2 0.500 0.584 0.876
As1 0.500 0.086 0.759
As2 0.500 0.914 0.259
O1 0.000 0.328 0.395
O2 0.000 0.672 0.895

(9)
Crystalline Zr2Sn3 at its relaxed geometry. Source: OQMD, functional PBE.

Values from the calculation:
Volume, Å³ per atom: 24.10
Electronic total energy, eV for the cell shown: -125.0
Symmetry: Cmce, No. 64
Magnetic moment, μB/atom: 0.000

abc: 10.935 10.935 7.431
angles: 90.00 90.00 147.14
Atoms (fractional coordinates):
Zr1 0.080 0.920 0.944
Zr2 0.084 0.416 0.750
Zr3 0.416 0.084 0.250
Zr4 0.420 0.580 0.444
Zr5 0.580 0.420 0.556
Zr6 0.584 0.916 0.750
Zr7 0.916 0.584 0.250
Zr8 0.920 0.080 0.056
Sn1 0.122 0.878 0.572
Sn2 0.225 0.775 0.925
Sn3 0.228 0.272 0.750
Sn4 0.272 0.228 0.250
Sn5 0.275 0.725 0.425
Sn6 0.378 0.622 0.072
Sn7 0.622 0.378 0.928
Sn8 0.725 0.275 0.575
Sn9 0.728 0.772 0.750
Sn10 0.772 0.728 0.250
Sn11 0.775 0.225 0.075
Sn12 0.878 0.122 0.428

(10)
Crystalline Nd2CoN3 at its relaxed geometry. Source: OQMD, functional PBE.

Values from the calculation:
Volume, Å³ per atom: 13.77
Electronic total energy, eV for the cell shown: -46.9
Symmetry: Immm, No. 71
Magnetic moment, μB/atom: 0.003

abc: 6.821 6.821 6.821
angles: 149.36 149.18 44.01
Atoms (fractional coordinates):
Nd1 0.148 0.148 0.000
Nd2 0.852 0.852 0.000
Co1 0.500 0.500 0.000
N1 0.000 0.500 0.500
N2 0.339 0.339 0.000
N3 0.661 0.661 0.000

(11)
Crystalline GeIrAuSe3 at its relaxed geometry. Source: OQMD, functional PBE.

Values from the calculation:
Volume, Å³ per atom: 22.19
Electronic total energy, eV for the cell shown: -56.5
Symmetry: Cmcm, No. 63
Magnetic moment, μB/atom: 0.001

abc: 7.407 7.407 9.768
angles: 90.00 90.00 150.20
Atoms (fractional coordinates):
Ge1 0.180 0.820 0.750
Ge2 0.820 0.180 0.250
Ir1 0.500 0.500 0.000
Ir2 0.500 0.500 0.500
Au1 0.187 0.813 0.250
Au2 0.813 0.187 0.750
Se1 0.114 0.886 0.015
Se2 0.114 0.886 0.485
Se3 0.449 0.551 0.250
Se4 0.551 0.449 0.750
Se5 0.886 0.114 0.515
Se6 0.886 0.114 0.985

(12)
Crystalline TbHoIn2 at its relaxed geometry. Source: OQMD, functional PBE.

Values from the calculation:
Volume, Å³ per atom: 26.23
Electronic total energy, eV for the cell shown: -16.5
Symmetry: Cmmm, No. 65
Magnetic moment, μB/atom: 0.002

abc: 5.540 5.540 3.499
angles: 90.00 90.00 102.32
Atoms (fractional coordinates):
Tb1 0.000 0.000 0.000
Ho1 0.500 0.500 0.000
In1 0.000 0.500 0.500
In2 0.500 0.000 0.500

(13)
Crystalline LuNbCoAu at its relaxed geometry. Source: OQMD, functional PBE.

Values from the calculation:
Volume, Å³ per atom: 16.88
Excess energy over the best structure of this formula in the dataset, eV per formula unit: 0.25
Symmetry: F-43m, No. 216
Magnetic moment, μB/atom: 0.000
Energy of formation, eV/atom: -0.02

abc: 4.571 4.571 4.571
angles: 60.00 60.00 60.00
Atoms (fractional coordinates):
Lu1 0.000 0.000 0.000
Nb1 0.750 0.750 0.750
Co1 0.500 0.500 0.500
Au1 0.250 0.250 0.250

(14)
Crystalline Cs4Ge2Au7 at its relaxed geometry. Source: OQMD, functional PBE.

Values from the calculation:
Volume, Å³ per atom: 30.00
Electronic total energy, eV for the cell shown: -40.0
Symmetry: R-3m, No. 166

abc: 10.525 10.525 10.525
angles: 37.63 37.63 37.63
Atoms (fractional coordinates):
Cs1 0.184 0.184 0.184
Cs2 0.312 0.312 0.312
Cs3 0.688 0.688 0.688
Cs4 0.816 0.816 0.816
Ge1 0.047 0.047 0.047
Ge2 0.953 0.953 0.953
Au1 0.278 0.278 0.705
Au2 0.278 0.705 0.278
Au3 0.295 0.722 0.722
Au4 0.500 0.500 0.500
Au5 0.705 0.278 0.278
Au6 0.722 0.295 0.722
Au7 0.722 0.722 0.295

(15)
Crystalline CdBPd at its relaxed geometry. Source: OQMD, functional PBE.

Values from the calculation:
Volume, Å³ per atom: 16.96
Excess energy over the best structure of this formula in the dataset, eV per formula unit: 0.00
Symmetry: F-43m, No. 216

abc: 4.159 4.159 4.159
angles: 60.00 60.00 60.00
Atoms (fractional coordinates):
Cd1 0.000 0.000 0.000
B1 0.500 0.500 0.500
Pd1 0.750 0.750 0.750

(16)
Crystalline Dy2HoGa3NiGe2 at its relaxed geometry. Source: OQMD, functional PBE.

Values from the calculation:
Volume, Å³ per atom: 19.30
Electronic total energy, eV for the cell shown: -44.2
Symmetry: Amm2, No. 38
Magnetic moment, μB/atom: 0.000

abc: 4.135 6.964 6.964
angles: 119.98 90.00 90.00
Atoms (fractional coordinates):
Dy1 0.000 0.200 0.800
Dy2 0.000 0.800 0.200
Ho1 0.000 0.599 0.599
Ga1 0.500 0.200 0.429
Ga2 0.500 0.429 0.200
Ga3 0.500 0.971 0.971
Ni1 0.000 0.200 0.200
Ge1 0.500 0.533 0.866
Ge2 0.500 0.866 0.533

(17)
Crystalline Zn at its relaxed geometry. Source: OQMD, functional PBE.

Values from the calculation:
Volume, Å³ per atom: 15.48
Excess energy over the best structure of this formula in the dataset, eV per formula unit: 0.12
Symmetry: Fmmm, No. 69
Energy of formation, eV/atom: 0.12

abc: 5.388 5.174 2.577
angles: 80.55 71.30 28.15
Atoms (fractional coordinates):
Zn1 0.132 0.132 0.868
Zn2 0.868 0.868 0.132

(18)
Crystalline ZnGaIr2 at its relaxed geometry. Source: OQMD, functional PBE.

Values from the calculation:
Volume, Å³ per atom: 14.03
Excess energy over the best structure of this formula in the dataset, eV per formula unit: 0.00
Symmetry: Fm-3m, No. 225
Magnetic moment, μB/atom: 0.000

abc: 4.298 4.298 4.298
angles: 60.00 60.00 60.00
Atoms (fractional coordinates):
Zn1 0.000 0.000 0.000
Ga1 0.500 0.500 0.500
Ir1 0.250 0.250 0.250
Ir2 0.750 0.750 0.750

(19)
Crystalline GdTlCd at its relaxed geometry. Source: OQMD, functional PBE.

Values from the calculation:
Volume, Å³ per atom: 28.79
Electronic total energy, eV for the cell shown: -8.6
Symmetry: F-43m, No. 216
Magnetic moment, μB/atom: 0.000

abc: 4.962 4.962 4.962
angles: 60.00 60.00 60.00
Atoms (fractional coordinates):
Gd1 0.000 0.000 0.000
Tl1 0.750 0.750 0.750
Cd1 0.500 0.500 0.500

(20)
Crystalline CoGe2 at its relaxed geometry. Source: OQMD, functional PBE.

Values from the calculation:
Volume, Å³ per atom: 40.94
Electronic total energy, eV for the cell shown: -29.7
Symmetry: Fd-3m, No. 227
Magnetic moment, μB/atom: 0.000

abc: 7.030 7.030 7.030
angles: 60.00 60.00 60.00
Atoms (fractional coordinates):
Co1 0.125 0.125 0.125
Co2 0.875 0.875 0.875
Ge1 0.000 0.000 0.000
Ge2 0.000 0.000 0.500
Ge3 0.000 0.500 0.000
Ge4 0.500 0.000 0.000

(21)
Crystalline Hf3ZrHg2B2 at its relaxed geometry. Source: OQMD, functional PBE.

Values from the calculation:
Volume, Å³ per atom: 18.80
Electronic total energy, eV for the cell shown: -55.2
Symmetry: P3m1, No. 156
Magnetic moment, μB/atom: 0.005

abc: 3.400 3.400 15.022
angles: 90.00 90.00 120.00
Atoms (fractional coordinates):
Hf1 0.000 0.000 0.000
Hf2 0.000 0.000 0.325
Hf3 0.667 0.333 0.828
Zr1 0.667 0.333 0.500
Hg1 0.000 0.000 0.666
Hg2 0.667 0.333 0.163
B1 0.333 0.667 0.411
B2 0.333 0.667 0.914

(22)
Crystalline BaGd2O4 at its relaxed geometry. Source: OQMD, functional PBE.

Values from the calculation:
Volume, Å³ per atom: 18.15
Excess energy over the best structure of this formula in the dataset, eV per formula unit: 0.03
Symmetry: Fd-3m, No. 227
Magnetic moment, μB/atom: 0.000

abc: 7.110 7.110 7.110
angles: 60.00 60.00 60.00
Atoms (fractional coordinates):
Ba1 0.125 0.125 0.125
Ba2 0.875 0.875 0.875
Gd1 0.000 0.500 0.500
Gd2 0.500 0.000 0.500
Gd3 0.500 0.500 0.000
Gd4 0.500 0.500 0.500
O1 0.270 0.270 0.270
O2 0.270 0.270 0.689
O3 0.270 0.689 0.270
O4 0.311 0.730 0.730
O5 0.689 0.270 0.270
O6 0.730 0.311 0.730
O7 0.730 0.730 0.311
O8 0.730 0.730 0.730